[1]
4
Lattice="4.666 0.000 0.000 0.000 4.666 0.000 0.000 0.000 6.826" Properties=species:S:1:pos:R:3 comment="K2ReBr | Alexandria | GGA-PBEsol | relaxed" formation_energy_uncorrected_mev_per_atom=988 crystal_system=tetragonal de_polymorph_mev_per_atom=305 space_group="P4mm, No. 99" pbc="T T T"
K 0.000 0.000 0.000
K 2.333 2.333 3.168
Re 0.000 0.000 3.457
Br 2.333 2.333 6.626

[2]
5
Lattice="5.359 0.000 0.000 0.000 5.359 0.000 0.000 0.000 5.247" Properties=species:S:1:pos:R:3 comment="CoTePtI2 | Alexandria | GGA-PBEsol | relaxed" formation_energy_uncorrected_mev_per_atom=953 crystal_system=tetragonal space_group="P4/mmm, No. 123" pbc="T T T"
Co 0.000 0.000 0.000
Te 2.680 2.680 0.000
Pt 2.680 2.680 2.623
I 0.000 2.680 2.623
I 2.680 0.000 2.623

[3]
26
Lattice="6.044 0.000 0.000 -3.022 5.234 0.000 0.000 0.000 10.042" Properties=species:S:1:pos:R:3 comment="SrErAl3SiN4O3 | Alexandria | GGA-PBEsol | relaxed" formation_energy_uncorrected_mev_per_atom=-2171 crystal_system=hexagonal space_group="P6_3mc, No. 186" pbc="T T T"
Sr 0.000 3.489 0.000
Sr 3.022 1.745 5.021
Er 0.000 3.489 6.167
Er 3.022 1.745 1.146
Al 0.000 1.732 3.133
Al -1.522 4.368 3.133
Al 1.500 0.866 8.154
Al 1.522 4.368 3.133
Al 4.544 0.866 8.154
Al 3.022 3.502 8.154
Si 0.000 0.000 0.500
Si 0.000 0.000 5.521
N 0.000 0.000 2.319
N 0.000 0.000 7.340
N 0.000 1.626 4.956
N -1.613 4.421 4.956
N 1.409 0.813 9.977
N 1.613 4.421 4.956
N 4.635 0.813 9.977
N 3.022 3.608 9.977
O -1.421 2.669 2.556
O 1.421 2.669 2.556
O 0.000 5.130 2.556
O 3.022 0.104 7.577
O 1.601 2.565 7.577
O 4.443 2.565 7.577

[4]
5
Lattice="5.175 0.000 0.000 0.000 5.175 0.000 0.000 0.000 5.175" Properties=species:S:1:pos:R:3 comment="HfFeBr3 | Alexandria | GGA-PBEsol | relaxed" formation_energy_uncorrected_mev_per_atom=177 crystal_system=cubic space_group="Pm-3m, No. 221" pbc="T T T"
Hf 0.000 0.000 0.000
Fe 2.588 2.588 2.588
Br 0.000 0.000 2.588
Br 0.000 2.588 0.000
Br 2.588 0.000 0.000

[5]
4
Lattice="3.442 0.000 0.000 0.000 3.442 0.000 0.000 0.000 8.598" Properties=species:S:1:pos:R:3 comment="Ca2TeRu | Alexandria | GGA-PBEsol | relaxed" formation_energy_uncorrected_mev_per_atom=-127 crystal_system=tetragonal space_group="P4mm, No. 99" pbc="T T T"
Ca 0.000 0.000 0.000
Ca 1.721 1.721 3.141
Te 1.721 1.721 6.358
Ru 0.000 0.000 5.216

[6]
4
Lattice="1.511 -2.578 0.000 1.511 2.578 0.000 0.000 0.000 10.591" Properties=species:S:1:pos:R:3 comment="TlHg2Ir | Alexandria | GGA-PBEsol | relaxed" crystal_system=orthorhombic de_polymorph_mev_per_atom=185 ef_ev_per_fu=1.8 space_group="Cmmm, No. 65" pbc="T T T"
Tl 0.000 0.000 0.000
Hg 1.511 0.000 2.977
Hg 1.511 0.000 7.615
Ir 0.000 0.000 5.296

[7]
4
Lattice="3.113 0.000 0.000 0.000 3.164 0.000 0.000 0.000 6.506" Properties=species:S:1:pos:R:3 comment="Cu2PBr | Alexandria | GGA-PBEsol | relaxed" formation_energy_uncorrected_mev_per_atom=157 crystal_system=orthorhombic de_polymorph_mev_per_atom=119 space_group="Pmmm, No. 47" pbc="T T T"
Cu 0.000 0.000 1.224
Cu 0.000 0.000 5.283
P 1.557 1.582 0.000
Br 1.557 0.000 3.253

[8]
10
Lattice="5.514 0.000 0.000 0.000 5.514 0.000 0.000 0.000 2.983" Properties=species:S:1:pos:R:3 comment="MnV2B2 | Alexandria | GGA-PBEsol | relaxed" crystal_system=tetragonal ef_ev_per_fu=-3.8 space_group="P4/mbm, No. 127" pbc="T T T"
Mn 0.000 0.000 0.000
Mn 2.757 2.757 0.000
V 0.973 1.784 1.491
V 1.784 4.541 1.491
V 3.730 0.973 1.491
V 4.541 3.730 1.491
B 0.637 3.393 0.000
B 2.120 0.637 0.000
B 3.393 4.877 0.000
B 4.877 2.120 0.000